Crystalline MgSc2Pb5 at its relaxed geometry. Source: Alexandria, functional PBE.

Lattice parameters (Å, degrees): 6.5305 6.5307 6.5313 107.26 107.26 113.98
Last column: nearest neighbours and their distance in Å.
Positions (direct):
Pb1 0.2781 0.2782 0.5004  4 Sc 3.26-3.27, 2 Mg 3.27, 4 Pb 3.27-3.56
Pb2 0.2781 0.7775 0.0000  2 Mg 3.26-3.27, 4 Sc 3.26-3.27, 4 Pb 3.27-3.56
Pb3 0.2775 0.2772 0.0000  8 Pb 3.27, 2 Mg 3.55-3.57
Mg1 0.7785 0.7784 0.0000  10 Pb 3.26-3.57
Sc1 0.7777 0.2779 0.4999  8 Pb 3.26-3.27, 2 Sc 3.56
Sc2 0.2777 0.7779 0.5001  8 Pb 3.26-3.27, 2 Sc 3.56
Pb4 0.7778 0.2781 0.0000  4 Pb 3.27-3.56, 4 Sc 3.27, 2 Mg 3.27
Pb5 0.7776 0.7777 0.4996  4 Sc 3.26-3.27, 4 Pb 3.27-3.56, 2 Mg 3.27

Results
Its symmetry is No. 107. The value obtained for the final energy is -33.9 eV per cell. The formation energy comes out at -141 meV per atom. As for the calculated density: 8949 kg/m³.

***

Crystalline MgSc2Pb at its relaxed geometry. Source: Alexandria, functional PBE.

Lattice parameters (Å, degrees): 4.6424 3.4692 6.2268 73.78 90.00 90.00
Last column: nearest neighbours and their distance in Å.
Positions (direct):
Pb1 0.5000 0.5529 0.7705  2 Mg 2.93, 5 Sc 3.08-3.14
Sc1 0.5000 0.2946 0.2849  3 Pb 3.08-3.38, 4 Mg 3.11
Mg1 0.0000 0.7012 0.4718  2 Pb 2.93, 5 Sc 2.98-3.11
Sc2 0.0000 0.9513 0.9728  1 Mg 2.98, 4 Pb 3.14

Results
Its symmetry is No. 38. The value obtained for the final energy is -18.7 eV per cell. The formation energy comes out at -191 meV per atom. As for the calculated density: 5543 kg/m³.